Record 1
Compound: CsHgP
Source: the Alexandria database
Functional: PBE
Structure: optimized geometry

Cell lengths 5.7666, 6.7253, 6.8239 Å; angles 69.72, 66.57, 81.38 degrees
Closest atoms and distances in Å follow each position.
Fractional positions:
Cs  0.0000  0.0000  0.0000  3 Hg 3.61-3.98, 4 P 3.65-3.87
Cs  0.3358  0.4318  0.2493  4 P 3.54-3.81, 3 Hg 3.67-3.83
Hg  0.5667  0.6998  0.6101  2 P 2.48-2.49
Hg  0.7367  0.1471  0.5683  1 P 3.10, 1 Hg 3.19
P  0.1993  0.8401  0.4960  1 P 2.22, 1 Hg 2.49
P  0.9189  0.5927  0.7476  1 P 2.22, 1 Hg 2.48

---

Record 2
Compound: CsHgP
Source: the Alexandria database
Functional: PBE
Structure: optimized geometry

Cell lengths 4.6961, 4.6961, 8.5948 Å; angles 90.00, 90.00, 90.00 degrees
Closest atoms and distances in Å follow each position.
Fractional positions:
Cs  0.2500  0.2500  0.1604  4 P 3.60, 4 Hg 3.75
Cs  0.7500  0.7500  0.8396  4 P 3.60, 4 Hg 3.75
Hg  0.2500  0.7500  0.5000  4 P 2.80
Hg  0.7500  0.2500  0.5000  4 P 2.80
P  0.2500  0.2500  0.6776  4 Hg 2.80
P  0.7500  0.7500  0.3224  4 Hg 2.80

---

Record 3
Compound: CsHgP
Source: the Alexandria database
Functional: PBE
Structure: optimized geometry

Cell lengths 11.8942, 4.5034, 8.8341 Å; angles 90.00, 90.00, 90.00 degrees
Closest atoms and distances in Å follow each position.
Fractional positions:
Cs  0.1828  0.2500  0.0040  4 P 3.62-3.73, 1 Hg 3.87
Cs  0.3172  0.7500  0.5040  4 P 3.62-3.73, 1 Hg 3.87
Cs  0.6828  0.2500  0.4960  4 P 3.62-3.73, 1 Hg 3.87
Cs  0.8172  0.7500  0.9960  4 P 3.62-3.73, 1 Hg 3.87
Hg  0.0223  0.2500  0.6231  2 P 2.48
Hg  0.4777  0.7500  0.1231  2 P 2.48
Hg  0.5223  0.2500  0.8769  2 P 2.48
Hg  0.9777  0.7500  0.3769  2 P 2.48
P  0.0543  0.7500  0.7335  2 Hg 2.48
P  0.4457  0.2500  0.2334  2 Hg 2.48
P  0.5543  0.7500  0.7665  2 Hg 2.48
P  0.9457  0.2500  0.2666  2 Hg 2.48

---

Record 4
Compound: CsHgP
Source: the Alexandria database
Functional: PBE
Structure: optimized geometry

Cell lengths 8.7819, 4.5177, 11.0435 Å; angles 90.00, 90.00, 90.00 degrees
Closest atoms and distances in Å follow each position.
Fractional positions:
Cs  0.0026  0.2500  0.1869  5 P 3.67-4.01, 2 Hg 3.80-3.92
Cs  0.4974  0.7500  0.6869  5 P 3.67-4.01, 2 Hg 3.80-3.92
Cs  0.5026  0.2500  0.3131  5 P 3.67-4.01, 2 Hg 3.80-3.92
Cs  0.9974  0.7500  0.8131  5 P 3.67-4.01, 2 Hg 3.80-3.92
Hg  0.1351  0.2500  0.5145  2 P 2.51
Hg  0.3649  0.7500  0.0145  2 P 2.51
Hg  0.6351  0.2500  0.9855  2 P 2.51
Hg  0.8649  0.7500  0.4855  2 P 2.51
P  0.2114  0.7500  0.4366  2 Hg 2.51
P  0.2886  0.2500  0.9366  2 Hg 2.51
P  0.7114  0.7500  0.0634  2 Hg 2.51
P  0.7886  0.2500  0.5634  2 Hg 2.51

---

Record 5
Compound: CsHgP
Source: the Alexandria database
Functional: PBE
Structure: optimized geometry

Cell lengths 5.3709, 6.9327, 6.9827 Å; angles 69.53, 81.97, 81.51 degrees
Closest atoms and distances in Å follow each position.
Fractional positions:
Cs  0.0000  0.0000  0.0000  3 P 3.68-3.74, 3 Hg 3.81-4.07
Cs  0.3301  0.6152  0.6209  4 P 3.61-3.97, 3 Hg 3.76-3.89
Hg  0.3378  0.3624  0.2134  2 P 2.51
Hg  0.7093  0.0639  0.5071  1 P 2.90, 1 Hg 3.07
P  0.7438  0.5113  0.0443  1 P 2.17
P  0.8928  0.4691  0.3318  1 P 2.17

---

Record 6
Compound: Cs2HgP
Source: the Alexandria database
Functional: PBE
Structure: optimized geometry

Cell lengths 8.9285, 11.0567, 6.8230 Å; angles 90.00, 90.00, 90.00 degrees
Closest atoms and distances in Å follow each position.
Fractional positions:
Cs  0.2001  0.0825  0.1017  3 Cs 3.70-3.97, 3 P 3.72-3.95, 3 Hg 4.02-4.09
Cs  0.2001  0.4175  0.1017  3 Cs 3.70-3.97, 3 P 3.72-3.95, 3 Hg 4.02-4.09
Cs  0.2999  0.5825  0.6017  3 Cs 3.70-3.97, 3 P 3.72-3.95, 3 Hg 4.02-4.09
Cs  0.2999  0.9175  0.6017  3 Cs 3.70-3.97, 3 P 3.72-3.95, 3 Hg 4.02-4.09
Cs  0.7001  0.0825  0.3983  3 Cs 3.70-3.97, 3 P 3.72-3.95, 3 Hg 4.02-4.09
Cs  0.7001  0.4175  0.3983  3 Cs 3.70-3.97, 3 P 3.72-3.95, 3 Hg 4.02-4.09
Cs  0.7999  0.5825  0.8983  3 Cs 3.70-3.97, 3 P 3.72-3.95, 3 Hg 4.02-4.09
Cs  0.7999  0.9175  0.8983  3 Cs 3.70-3.97, 3 P 3.72-3.95, 3 Hg 4.02-4.09
Hg  0.0698  0.2500  0.6078  2 P 2.57-2.59
Hg  0.4302  0.7500  0.1078  2 P 2.57-2.59
Hg  0.5698  0.2500  0.8922  2 P 2.57-2.59
Hg  0.9302  0.7500  0.3922  2 P 2.57-2.59
P  0.1428  0.7500  0.1329  2 Hg 2.57-2.59
P  0.3572  0.2500  0.6329  2 Hg 2.57-2.59
P  0.6428  0.7500  0.3671  2 Hg 2.57-2.59
P  0.8572  0.2500  0.8671  2 Hg 2.57-2.59

Results
Energy above the lowest structure with this stoichiometry: 0 kJ/mol of formula units

---

Record 7
Compound: CsHgP
Source: the Alexandria database
Functional: PBE
Structure: optimized geometry

Cell lengths 5.9921, 6.5071, 7.1607 Å; angles 116.63, 114.01, 90.93 degrees
Closest atoms and distances in Å follow each position.
Fractional positions:
Cs  0.0000  0.0000  0.0000  4 P 3.73-3.92, 5 Hg 3.76-4.09
Cs  0.4036  0.4079  0.8101  4 P 3.74-3.93, 5 Hg 3.77-4.06
Hg  0.4218  0.7758  0.4073  2 P 2.46-2.49
Hg  0.6729  0.3513  0.4013  2 P 2.84-2.89, 1 Hg 3.16
P  0.0252  0.6619  0.4029  1 P 2.24, 1 Hg 2.46
P  0.8027  0.9360  0.4070  1 P 2.24, 1 Hg 2.49

---

Record 8
Compound: CsHg2P2
Source: the Alexandria database
Functional: PBE
Structure: optimized geometry

Cell lengths 6.5588, 6.5588, 6.5588 Å; angles 136.38, 136.38, 63.39 degrees
Closest atoms and distances in Å follow each position.
Fractional positions:
Cs  0.0000  0.0000  0.0000  8 P 3.70, 10 Hg 3.76-4.09
Hg  0.3661  0.3661  0.0000  4 P 2.76, 1 Hg 2.99
Hg  0.6339  0.6339  0.0000  4 P 2.76, 1 Hg 2.99
P  0.2500  0.7500  0.5000  4 Hg 2.76
P  0.7500  0.2500  0.5000  4 Hg 2.76

Results
Energy above the lowest structure with this stoichiometry: 106 kJ/mol of formula units

---

Values for calculated formation energy, eV per atom, ordered as above
-0.23 -0.12 -0.16 -0.17 -0.22 -0.20 -0.24 0.17